# Sm3Co2Ag GGA-PBE optimized geometry
# DFT total energy (eV per atom): -5.32
# Energy of formation from the pure elements (eV per atom): -0.12
# Crystal system: orthorhombic
data_Sm3Co2Ag
_chemical_formula_sum 'Sm6 Co4 Ag2'
_cell_length_a 3.8842
_cell_length_b 9.8316
_cell_length_c 7.4389
_cell_angle_alpha 90.00
_cell_angle_beta 90.00
_cell_angle_gamma 90.00
_space_group_name_H-M_alt 'P m c 21'
_space_group_IT_number 26
loop_
_space_group_symop_operation_xyz
'x,y,z'
'-x,-y,z+1/2'
'-x,y,z'
'x,-y,z+1/2'
loop_
_atom_site_label
_atom_site_type_symbol
_atom_site_fract_x
_atom_site_fract_y
_atom_site_fract_z
_atom_site_occupancy
Sm1 Sm 0.0000 0.0535 0.0000 1
Sm2 Sm 0.5000 0.2677 0.3799 1
Sm3 Sm 0.5000 0.3542 0.8731 1
Co1 Co 0.0000 0.2182 0.6568 1
Co2 Co 0.5000 0.0977 0.7058 1
Ag1 Ag 0.0000 0.4983 0.1242 1